# PBE BaCdSn2Br8, optimized geometry
# **Symmetry**: P-1
# **Energy relative to the elements, uncorrected**: -1.100 eV/atom
data_BaCdSn2Br8
_chemical_formula_sum 'Ba1 Cd1 Sn2 Br8'
_symmetry_space_group_name_H-M 'P 1'
_symmetry_Int_Tables_number 1
_symmetry_space_group_name_Hall 'P 1'
_cell_length_a 6.850
_cell_length_b 7.154
_cell_length_c 9.109
_cell_angle_alpha 89.97
_cell_angle_beta 89.98
_cell_angle_gamma 88.82
loop_
_atom_site_label
_atom_site_type_symbol
_atom_site_fract_x
_atom_site_fract_y
_atom_site_fract_z
Ba1 Ba 0.000 0.000 0.000
Cd1 Cd 0.000 0.000 0.500
Sn1 Sn 0.499 0.499 0.266
Sn2 Sn 0.501 0.501 0.734
Br1 Br 0.239 0.845 0.283
Br2 Br 0.240 0.846 0.718
Br3 Br 0.251 0.334 0.499
Br4 Br 0.273 0.361 0.001
Br5 Br 0.727 0.639 0.999
Br6 Br 0.749 0.666 0.501
Br7 Br 0.760 0.154 0.282
Br8 Br 0.761 0.155 0.717

***

# PBE Rb3Ac3CeO8, optimized geometry
# **Symmetry**: R-3m
# **Energy relative to the elements, uncorrected**: -2.713 eV/atom
data_Rb3Ac3CeO8
_chemical_formula_sum 'Rb3 Ac3 Ce1 O8'
_symmetry_space_group_name_H-M 'P 1'
_symmetry_Int_Tables_number 1
_symmetry_space_group_name_Hall 'P 1'
_cell_length_a 7.992
_cell_length_b 7.992
_cell_length_c 7.992
_cell_angle_alpha 56.98
_cell_angle_beta 56.98
_cell_angle_gamma 56.98
loop_
_atom_site_label
_atom_site_type_symbol
_atom_site_fract_x
_atom_site_fract_y
_atom_site_fract_z
Rb1 Rb 0.000 0.500 0.500
Rb2 Rb 0.500 0.000 0.500
Rb3 Rb 0.500 0.500 0.000
Ac1 Ac 0.000 0.000 0.500
Ac2 Ac 0.000 0.500 0.000
Ac3 Ac 0.500 0.000 0.000
Ce1 Ce 0.500 0.500 0.500
O1 O 0.228 0.228 0.228
O2 O 0.250 0.709 0.709
O3 O 0.291 0.291 0.750
O4 O 0.291 0.750 0.291
O5 O 0.709 0.250 0.709
O6 O 0.709 0.709 0.250
O7 O 0.750 0.291 0.291
O8 O 0.772 0.772 0.772

***

# PBE AcCePmSc, optimized geometry
# **Symmetry**: F-43m
# **ΔE_f**: 0.92 eV/f.u.
data_AcCePmSc
_chemical_formula_sum 'Ac4 Ce4 Pm4 Sc4'
_symmetry_space_group_name_H-M 'P 1'
_symmetry_Int_Tables_number 1
_symmetry_space_group_name_Hall 'P 1'
_cell_length_a 8.124
_cell_length_b 8.124
_cell_length_c 8.124
_cell_angle_alpha 90.00
_cell_angle_beta 90.00
_cell_angle_gamma 90.00
loop_
_atom_site_label
_atom_site_type_symbol
_atom_site_fract_x
_atom_site_fract_y
_atom_site_fract_z
Ac1 Ac 0.000 0.000 0.000
Ac2 Ac 0.000 0.500 0.500
Ac3 Ac 0.500 0.000 0.500
Ac4 Ac 0.500 0.500 0.000
Ce1 Ce 0.250 0.250 0.750
Ce2 Ce 0.250 0.750 0.250
Ce3 Ce 0.750 0.250 0.250
Ce4 Ce 0.750 0.750 0.750
Pm1 Pm 0.000 0.000 0.500
Pm2 Pm 0.000 0.500 0.000
Pm3 Pm 0.500 0.000 0.000
Pm4 Pm 0.500 0.500 0.500
Sc1 Sc 0.250 0.250 0.250
Sc2 Sc 0.250 0.750 0.750
Sc3 Sc 0.750 0.250 0.750
Sc4 Sc 0.750 0.750 0.250

***

The calculation returns the following ρ values, one per record and in order: 4.191 5.961 6.902 g cm⁻³.
The calculation returns the following DFT total energy values, one per record and in order: -37.4 -101.5 -80.8 eV per cell.